1.
A relaxed structure of Mg5Ga2Sn2Hg. Source: Alexandria, functional GGA-PBE.

Summary:
DFT formation energy: -0.0829 eV/atom

Lattice parameters (Å, degrees): 10.420 10.420 4.159 90.00 90.00 90.00
Space group P4/mbm (No. 127)
Asymmetric unit:
Mg  0.000  0.500  0.000 (multiplicity 2)
Mg  0.072  0.201  0.000 (multiplicity 8)
Ga  0.124  0.376  0.500 (multiplicity 4)
Sn  0.171  0.671  0.500 (multiplicity 4)
Hg  0.000  0.000  0.500 (multiplicity 2)

2.
A relaxed structure of Zr2CuReSb. Source: Alexandria, functional GGA-PBE.

Summary:
E_form (uncorrected): 1320 meV per atom

Lattice parameters (Å, degrees): 5.277 5.277 4.445 90.00 90.00 90.00
Space group P4/mmm (No. 123)
Asymmetric unit:
Zr  0.000  0.500  0.000 (multiplicity 2)
Cu  0.000  0.000  0.500 (multiplicity 1)
Re  0.500  0.500  0.500 (multiplicity 1)
Sb  0.000  0.000  0.000 (multiplicity 1)

3.
A relaxed structure of RbUS3. Source: Alexandria, functional GGA-PBE.

Summary:
energy above the lowest structure with this stoichiometry: 49 meV/atom
E_form (uncorrected): -1294 meV per atom

Lattice parameters (Å, degrees): 13.287 5.294 9.081 90.00 103.50 90.00
Space group C2/m (No. 12)
Asymmetric unit:
Rb  0.117  0.000  0.397 (multiplicity 4)
U  0.130  0.500  0.919 (multiplicity 4)
S  0.072  0.500  0.174 (multiplicity 4)
S  0.141  0.500  0.653 (multiplicity 4)
S  0.164  0.000  0.949 (multiplicity 4)

4.
A relaxed structure of K2MgTl3Pb4. Source: Alexandria, functional GGA-PBE.

Summary:
DFT formation energy: -0.0635 eV/atom

Lattice parameters (Å, degrees): 4.872 4.872 14.716 90.00 90.00 90.00
Space group P-4m2 (No. 115)
Asymmetric unit:
K  0.000  0.500  0.241 (multiplicity 2)
Mg  0.500  0.500  0.000 (multiplicity 1)
Tl  0.000  0.000  0.000 (multiplicity 1)
Tl  0.000  0.500  0.650 (multiplicity 2)
Pb  0.000  0.000  0.500 (multiplicity 1)
Pb  0.000  0.500  0.868 (multiplicity 2)
Pb  0.500  0.500  0.500 (multiplicity 1)

5.
A relaxed structure of Cs2RbMgH5. Source: Alexandria, functional GGA-PBE.

Lattice parameters (Å, degrees): 4.175 6.481 14.043 90.00 90.00 90.00
Space group Immm (No. 71)
Asymmetric unit:
Cs  0.000  0.000  0.211 (multiplicity 4)
Rb  0.000  0.500  0.000 (multiplicity 2)
Mg  0.000  0.500  0.500 (multiplicity 2)
H  0.000  0.000  0.000 (multiplicity 2)
H  0.000  0.281  0.396 (multiplicity 8)

6.
A relaxed structure of ZrNi3. Source: Alexandria, functional GGA-PBE.

Summary:
DFT formation energy: 0.2071 eV/atom

Lattice parameters (Å, degrees): 2.7619 2.7619 8.3870 90.00 90.00 120.00
Space group P-6m2 (No. 187)
Asymmetric unit:
Zr  0.0000  0.0000  0.0000 (multiplicity 1)
Ni  0.0000  0.0000  0.5000 (multiplicity 1)
Ni  0.6667  0.3333  0.2751 (multiplicity 2)

Number 1: spin magnetization 0.00 μB per cell, final energy -46.33 eV/cell. Number 2: spin magnetization 1.15 μB per cell, final energy -31.16 eV/cell. Number 3: spin magnetization 4.00 μB per cell, final energy -124.44 eV/cell. Number 4: spin magnetization 0.00 μB per cell, final energy -26.36 eV/cell. Number 5: spin magnetization 0.00 μB per cell, final energy -45.60 eV/cell. Number 6: spin magnetization 1.12 μB per cell, final energy -25.06 eV/cell.